(1)
An optimized crystal structure of MnRh2, computed with GGA-PBEsol.

Unit cell a=2.6235 b=2.6235 c=10.8874 alpha=90.00 beta=90.00 gamma=90.00
Space group I4/mmm (No. 139)
Asymmetric unit:
Mn 0.0000 0.0000 0.0000 (multiplicity 2)
Rh 0.0000 0.0000 0.3422 (multiplicity 4)

## Properties
Relative energy among the computed polymorphs   0.05 eV per formula unit

(2)
An optimized crystal structure of Mn2Rh, computed with GGA-PBEsol.

Unit cell a=3.9297 b=3.9297 c=2.5670 alpha=90.00 beta=90.00 gamma=120.00
Space group P6/mmm (No. 191)
Asymmetric unit:
Mn 0.3333 0.6667 0.0000 (multiplicity 2)
Rh 0.0000 0.0000 0.5000 (multiplicity 1)

(3)
An optimized crystal structure of MnRh2, computed with GGA-PBEsol.

Unit cell a=3.7047 b=3.7047 c=22.7080 alpha=90.00 beta=90.00 gamma=90.00
Space group I4_1/amd (No. 141, origin choice 2)
Asymmetric unit:
Mn 0.0000 0.2500 0.2944 (multiplicity 8)
Rh 0.0000 0.2500 0.1250 (multiplicity 8)
Rh 0.0000 0.2500 0.7911 (multiplicity 8)

## Properties
Relative energy among the computed polymorphs   0.00 eV per formula unit

(4)
An optimized crystal structure of MnRuRh2, computed with GGA-PBEsol.

Unit cell a=2.6297 b=2.6297 c=25.5759 alpha=90.00 beta=90.00 gamma=120.00
Space group R-3m (No. 166, hexagonal axes)
Asymmetric unit:
Mn 0.0000 0.0000 0.0000 (multiplicity 3)
Ru 0.0000 0.0000 0.5000 (multiplicity 3)
Rh 0.0000 0.0000 0.2530 (multiplicity 6)

(5)
An optimized crystal structure of MnRh2S2, computed with GGA-PBEsol.

Unit cell a=3.7967 b=3.7967 c=10.6432 alpha=90.00 beta=90.00 gamma=90.00
Space group I4/mmm (No. 139)
Asymmetric unit:
Mn 0.0000 0.0000 0.0000 (multiplicity 2)
Rh 0.0000 0.5000 0.2500 (multiplicity 4)
S 0.0000 0.0000 0.3801 (multiplicity 4)

## Properties
Uncorrected formation energy   0.108 eV per atom

(6)
An optimized crystal structure of MnSbRh, computed with GGA-PBEsol.

Unit cell a=5.9991 b=5.9991 c=5.9991 alpha=90.00 beta=90.00 gamma=90.00
Space group F-43m (No. 216)
Asymmetric unit:
Mn 0.0000 0.0000 0.0000 (multiplicity 4)
Sb 0.0000 0.0000 0.5000 (multiplicity 4)
Rh 0.2500 0.2500 0.2500 (multiplicity 4)

## Properties
Uncorrected formation energy   -0.181 eV per atom

(7)
An optimized crystal structure of MnSbRh3, computed with GGA-PBEsol.

Unit cell a=4.7122 b=4.7122 c=4.7122 alpha=90.00 beta=90.00 gamma=90.00
Space group Pm-3m (No. 221)
Asymmetric unit:
Mn 0.0000 0.0000 0.0000 (multiplicity 1)
Sb 0.5000 0.5000 0.5000 (multiplicity 1)
Rh 0.0000 0.5000 0.5000 (multiplicity 3)

## Properties
Uncorrected formation energy   1.119 eV per atom

(8)
An optimized crystal structure of MnSbRh, computed with GGA-PBEsol.

Unit cell a=3.1374 b=3.1374 c=5.9895 alpha=90.00 beta=90.00 gamma=120.00
Space group P3m1 (No. 156)
Asymmetric unit:
Mn 0.0000 0.0000 0.0000 (multiplicity 1)
Sb 0.3333 0.6667 0.3637 (multiplicity 1)
Rh 0.6667 0.3333 0.6999 (multiplicity 1)

## Properties
Uncorrected formation energy   0.228 eV per atom

(9)
An optimized crystal structure of MnSbTe2Rh, computed with GGA-PBEsol.

Unit cell a=5.2942 b=5.2942 c=4.8441 alpha=90.00 beta=90.00 gamma=90.00
Space group P4/mmm (No. 123)
Asymmetric unit:
Mn 0.0000 0.0000 0.0000 (multiplicity 1)
Sb 0.5000 0.5000 0.0000 (multiplicity 1)
Te 0.0000 0.5000 0.5000 (multiplicity 2)
Rh 0.5000 0.5000 0.5000 (multiplicity 1)

## Properties
Uncorrected formation energy   0.627 eV per atom

(10)
An optimized crystal structure of MnSb2RhW, computed with GGA-PBEsol.

Unit cell a=4.6986 b=4.6986 c=4.4062 alpha=90.00 beta=90.00 gamma=90.00
Space group P4/mmm (No. 123)
Asymmetric unit:
Mn 0.0000 0.0000 0.0000 (multiplicity 1)
Sb 0.0000 0.5000 0.0000 (multiplicity 2)
Rh 0.5000 0.5000 0.5000 (multiplicity 1)
W 0.0000 0.0000 0.5000 (multiplicity 1)

## Properties
Uncorrected formation energy   1.154 eV per atom

(11)
An optimized crystal structure of ScMn2Rh, computed with GGA-PBEsol.

Unit cell a=6.1236 b=6.1236 c=6.1236 alpha=90.00 beta=90.00 gamma=90.00
Space group Fm-3m (No. 225)
Asymmetric unit:
Sc 0.0000 0.0000 0.0000 (multiplicity 4)
Mn 0.2500 0.2500 0.2500 (multiplicity 8)
Rh 0.0000 0.0000 0.5000 (multiplicity 4)

## Properties
Relative energy among the computed polymorphs   0.00 eV per formula unit

(12)
An optimized crystal structure of ScMnRh2, computed with GGA-PBEsol.

Unit cell a=6.1656 b=6.1656 c=6.1656 alpha=90.00 beta=90.00 gamma=90.00
Space group Fm-3m (No. 225)
Asymmetric unit:
Sc 0.0000 0.0000 0.0000 (multiplicity 4)
Mn 0.0000 0.0000 0.5000 (multiplicity 4)
Rh 0.2500 0.2500 0.2500 (multiplicity 8)

(13)
An optimized crystal structure of ScMn2Rh, computed with GGA-PBEsol.

Unit cell a=3.0036 b=3.0036 c=6.5742 alpha=90.00 beta=90.00 gamma=90.00
Space group P4/mmm (No. 123)
Asymmetric unit:
Sc 0.0000 0.0000 0.0000 (multiplicity 1)
Mn 0.5000 0.5000 0.2802 (multiplicity 2)
Rh 0.0000 0.0000 0.5000 (multiplicity 1)

## Properties
Relative energy among the computed polymorphs   0.25 eV per formula unit

(14)
An optimized crystal structure of MnRh2Se, computed with GGA-PBEsol.

Unit cell a=3.5720 b=4.0684 c=7.7309 alpha=90.00 beta=90.00 gamma=90.00
Space group Immm (No. 71)
Asymmetric unit:
Mn 0.0000 0.0000 0.0000 (multiplicity 2)
Rh 0.0000 0.5000 0.2277 (multiplicity 4)
Se 0.0000 0.0000 0.5000 (multiplicity 2)

## Properties
Uncorrected formation energy   0.003 eV per atom

(15)
An optimized crystal structure of Mn2SiRh, computed with GGA-PBEsol.

Unit cell a=2.8554 b=2.8554 c=5.7769 alpha=90.00 beta=90.00 gamma=90.00
Space group P4mm (No. 99)
Asymmetric unit:
Mn 0.0000 0.0000 0.0000 (multiplicity 1)
Mn 0.5000 0.5000 0.2269 (multiplicity 1)
Si 0.5000 0.5000 0.7681 (multiplicity 1)
Rh 0.0000 0.0000 0.5220 (multiplicity 1)

## Properties
Uncorrected formation energy   -0.356 eV per atom

(16)
An optimized crystal structure of MnSi2Rh, computed with GGA-PBEsol.

Unit cell a=5.9247 b=5.9247 c=5.9247 alpha=90.00 beta=90.00 gamma=90.00
Space group F-43m (No. 216)
Asymmetric unit:
Mn 0.0000 0.0000 0.0000 (multiplicity 4)
Si 0.0000 0.0000 0.5000 (multiplicity 4)
Si 0.2500 0.2500 0.2500 (multiplicity 4)
Rh 0.2500 0.2500 0.7500 (multiplicity 4)

## Properties
Uncorrected formation energy   -0.067 eV per atom

(17)
An optimized crystal structure of MnSi2Rh, computed with GGA-PBEsol.

Unit cell a=2.7367 b=2.7367 c=22.4218 alpha=90.00 beta=90.00 gamma=120.00
Space group R-3m (No. 166, hexagonal axes)
Asymmetric unit:
Mn 0.0000 0.0000 0.0000 (multiplicity 3)
Si 0.0000 0.0000 0.2539 (multiplicity 6)
Rh 0.0000 0.0000 0.5000 (multiplicity 3)

## Properties
Uncorrected formation energy   -0.441 eV per atom

(18)
An optimized crystal structure of MnSi2Rh, computed with GGA-PBEsol.

Unit cell a=7.6696 b=2.6999 c=4.8071 alpha=90.00 beta=102.13 gamma=90.00
Space group C2/m (No. 12)
Asymmetric unit:
Mn 0.0000 0.0000 0.0000 (multiplicity 2)
Si 0.2469 0.5000 0.2293 (multiplicity 4)
Rh 0.0000 0.5000 0.5000 (multiplicity 2)

## Properties
Uncorrected formation energy   -0.449 eV per atom

(19)
An optimized crystal structure of Mn2SiRh, computed with GGA-PBEsol.

Unit cell a=5.0129 b=7.2822 c=2.6211 alpha=90.00 beta=90.00 gamma=90.00
Space group Cmmm (No. 65)
Asymmetric unit:
Mn 0.2500 0.2500 0.0000 (multiplicity 4)
Si 0.0000 0.0000 0.5000 (multiplicity 2)
Rh 0.0000 0.5000 0.5000 (multiplicity 2)

## Properties
Uncorrected formation energy   -0.237 eV per atom

(20)
An optimized crystal structure of Mn4SiRh, computed with GGA-PBEsol.

Unit cell a=6.4821 b=6.4821 c=6.4821 alpha=90.00 beta=90.00 gamma=90.00
Space group F-43m (No. 216)
Asymmetric unit:
Mn 0.1243 0.1243 0.3757 (multiplicity 16)
Si 0.2500 0.2500 0.7500 (multiplicity 4)
Rh 0.0000 0.0000 0.0000 (multiplicity 4)

## Properties
Uncorrected formation energy   0.094 eV per atom

(21)
An optimized crystal structure of Mn2SiRh, computed with GGA-PBEsol.

Unit cell a=2.9418 b=3.9950 c=4.0189 alpha=90.00 beta=90.00 gamma=90.00
Space group Pmmm (No. 47)
Asymmetric unit:
Mn 0.0000 0.0000 0.0000 (multiplicity 1)
Mn 0.5000 0.5000 0.0000 (multiplicity 1)
Si 0.0000 0.5000 0.5000 (multiplicity 1)
Rh 0.5000 0.0000 0.5000 (multiplicity 1)

## Properties
Uncorrected formation energy   -0.358 eV per atom

(22)
An optimized crystal structure of MnSi2Rh, computed with GGA-PBEsol.

Unit cell a=2.8395 b=2.8395 c=5.7041 alpha=90.00 beta=90.00 gamma=90.00
Space group P4/mmm (No. 123)
Asymmetric unit:
Mn 0.0000 0.0000 0.0000 (multiplicity 1)
Si 0.5000 0.5000 0.2235 (multiplicity 2)
Rh 0.0000 0.0000 0.5000 (multiplicity 1)

## Properties
Uncorrected formation energy   -0.644 eV per atom

(23)
An optimized crystal structure of MnSi2Rh, computed with GGA-PBEsol.

Unit cell a=2.7619 b=3.5112 c=5.0546 alpha=90.00 beta=90.00 gamma=90.00
Space group Pmm2 (No. 25)
Asymmetric unit:
Mn 0.0000 0.0000 0.0000 (multiplicity 1)
Si 0.0000 0.0000 0.5297 (multiplicity 1)
Si 0.5000 0.5000 0.8324 (multiplicity 1)
Rh 0.5000 0.5000 0.3390 (multiplicity 1)

## Properties
Uncorrected formation energy   -0.492 eV per atom

(24)
An optimized crystal structure of MnSiRh3, computed with GGA-PBEsol.

Unit cell a=4.3386 b=4.3386 c=4.3386 alpha=90.00 beta=90.00 gamma=90.00
Space group Pm-3m (No. 221)
Asymmetric unit:
Mn 0.0000 0.0000 0.0000 (multiplicity 1)
Si 0.5000 0.5000 0.5000 (multiplicity 1)
Rh 0.0000 0.0000 0.5000 (multiplicity 3)

## Properties
Uncorrected formation energy   1.076 eV per atom

(25)
An optimized crystal structure of Mn2SiRh, computed with GGA-PBEsol.

Unit cell a=3.7578 b=3.7578 c=6.8114 alpha=90.00 beta=90.00 gamma=90.00
Space group I-4m2 (No. 119)
Asymmetric unit:
Mn 0.0000 0.0000 0.0000 (multiplicity 2)
Mn 0.0000 0.5000 0.2500 (multiplicity 2)
Si 0.0000 0.5000 0.7500 (multiplicity 2)
Rh 0.0000 0.0000 0.5000 (multiplicity 2)

## Properties
Uncorrected formation energy   -0.387 eV per atom

(26)
An optimized crystal structure of MnSi2Rh, computed with GGA-PBEsol.

Unit cell a=4.0061 b=4.0061 c=2.8920 alpha=90.00 beta=90.00 gamma=90.00
Space group P4/mmm (No. 123)
Asymmetric unit:
Mn 0.0000 0.0000 0.0000 (multiplicity 1)
Si 0.0000 0.5000 0.5000 (multiplicity 2)
Rh 0.5000 0.5000 0.0000 (multiplicity 1)

## Properties
Uncorrected formation energy   -0.594 eV per atom

(27)
An optimized crystal structure of TiMnSnRh2, computed with GGA-PBEsol.

Unit cell a=4.3620 b=4.3620 c=4.7043 alpha=90.00 beta=90.00 gamma=90.00
Space group P4/mmm (No. 123)
Asymmetric unit:
Ti 0.0000 0.0000 0.0000 (multiplicity 1)
Mn 0.5000 0.5000 0.5000 (multiplicity 1)
Sn 0.5000 0.5000 0.0000 (multiplicity 1)
Rh 0.0000 0.5000 0.5000 (multiplicity 2)

(28)
An optimized crystal structure of Sr2MnRh, computed with GGA-PBEsol.

Unit cell a=4.1146 b=4.6077 c=11.5723 alpha=90.00 beta=90.00 gamma=90.00
Space group Amm2 (No. 38)
Asymmetric unit:
Sr 0.0000 0.0000 0.0000 (multiplicity 2)
Sr 0.5000 0.0000 0.2806 (multiplicity 2)
Mn 0.0000 0.0000 0.6925 (multiplicity 2)
Rh 0.5000 0.0000 0.5814 (multiplicity 2)

## Properties
Relative energy among the computed polymorphs   0.00 eV per formula unit

(29)
An optimized crystal structure of SrMnRh, computed with GGA-PBEsol.

Unit cell a=3.2490 b=3.5102 c=10.8831 alpha=90.00 beta=90.00 gamma=90.00
Space group Imm2 (No. 44)
Asymmetric unit:
Sr 0.0000 0.0000 0.0000 (multiplicity 2)
Mn 0.0000 0.0000 0.7197 (multiplicity 2)
Rh 0.0000 0.0000 0.2931 (multiplicity 2)

## Properties
Relative energy among the computed polymorphs   0.00 eV per formula unit

(30)
An optimized crystal structure of Sr2MnRh, computed with GGA-PBEsol.

Unit cell a=7.3366 b=7.3366 c=7.3366 alpha=90.00 beta=90.00 gamma=90.00
Space group Fm-3m (No. 225)
Asymmetric unit:
Sr 0.2500 0.2500 0.2500 (multiplicity 8)
Mn 0.0000 0.0000 0.0000 (multiplicity 4)
Rh 0.0000 0.0000 0.5000 (multiplicity 4)

## Properties
Relative energy among the computed polymorphs   1.19 eV per formula unit

Total energy: -8.719, -9.185, -8.734, -8.987, -6.853, -7.666, -6.628, -7.258, -5.275, -7.010, -8.525, -8.685, -8.461, -7.469, -8.708, -7.416, -7.789, -7.797, -8.588, -8.727, -8.710, -7.992, -7.840, -6.909, -8.739, -7.942, -6.957, -5.244, -6.335, -4.947 (eV/atom)